Li3Al2FeO6: optimized geometry, PBE+U.

The structure in POSCAR format:
```
Li3Al2FeO6
1.0
-0.6968 -1.1513 5.1662
-2.3807 -5.1411 -1.5001
7.1773 -2.9549 -0.9270
Li Al Fe O
6 4 2 12
Cartesian
-1.4498 -4.8216 -0.4421 Li
1.1919 -5.0524 0.4038 Li
3.0008 -7.0718 0.6620 Li
1.0990 -2.1755 2.0771 Li
2.9079 -4.1949 2.3354 Li
5.5496 -4.4257 3.1813 Li
3.7079 -2.8052 0.1082 Al
-1.5031 -4.4452 2.3207 Al
5.6029 -4.8021 0.4184 Al
0.3919 -6.4421 2.6310 Al
3.1205 -6.8134 3.4429 Fe
0.9793 -2.4339 -0.7038 Fe
-0.4358 -5.2999 3.8123 O
-0.0334 -1.3886 0.5397 O
2.0424 -6.2796 -1.0667 O
2.0795 -3.2654 0.7147 O
-0.5911 -5.5887 1.2792 O
4.8438 -6.4078 -0.0566 O
-0.7440 -2.8395 2.7958 O
4.6909 -3.6586 1.4599 O
2.0203 -5.9819 2.0244 O
2.0574 -2.9677 3.8058 O
4.1331 -7.8587 2.1995 O
4.5355 -3.9474 -1.0732 O
```

Calculated values
DFT total energy: -6.42 eV/atom
calculated density: 3114 kg/m3
ΔE to the lowest computed polymorph: 0 meV per atom
DOS at the Fermi energy: 0.00 states/eV/cell